This record from Alexandria describes an optimized crystal structure of Fe2AsO5. The functional is PBE+U.

Lattice parameters (Å, degrees): 3.849 10.155 9.545 90.00 90.00 90.00
Space group Cmcm (No. 63)
Symmetry-distinct sites (fractional):
1 Fe 0.000 0.135 0.082
2 As 0.000 0.181 0.750
3 O 0.000 0.058 0.616
4 O 0.000 0.276 0.250
5 O 0.000 0.308 0.605

## Properties
- Offset from the most stable computed form: 0.0 meV per atom
- Electronic total energy: -204.60 eV/cell